DFT (PBE) results for a geometry-optimized Pm4HRu structure.

Cell: 5.089 6.923 8.746 Å, 90.00 90.00 91.57°
Atoms (fractional coordinates):
Pm  0.764  0.317  0.540
Pm  0.764  0.317  0.960
H  0.261  0.903  0.250
Ru  0.175  0.507  0.750
Pm  0.754  0.904  0.250
Pm  0.246  0.096  0.750
H  0.739  0.097  0.750
Pm  0.236  0.683  0.460
Pm  0.723  0.759  0.750
Pm  0.277  0.241  0.250
Pm  0.236  0.683  0.040
Ru  0.825  0.493  0.250

## Properties
- Raw total energy: -5.4630 eV per atom
- ρ: 7.35 Mg/m³